Record 1
# Sc4Ta2Ni3N3 PBE relaxed
data_Sc4Ta2Ni3N3
_cell_length_a 9.4393
_cell_length_b 5.4605
_cell_length_c 13.2941
_cell_angle_alpha 90.00
_cell_angle_beta 103.95
_cell_angle_gamma 90.00
_symmetry_space_group_name_H-M 'C 1 2/c 1'
_symmetry_Int_Tables_number 15
_symmetry_space_group_name_Hall '-C 2yc'
loop_
_atom_site_label
_atom_site_fract_x
_atom_site_fract_y
_atom_site_fract_z
_atom_site_occupancy
Sc1 0.1177 0.0801 0.1050 1
Sc2 0.2132 0.0875 0.3950 1
Ta1 0.0561 0.4134 0.9113 1
Ni1 0.0000 0.1383 0.7500 1
Ni2 0.1373 0.4473 0.2493 1
N1 0.0815 0.2557 0.4999 1
N2 0.2500 0.2500 0.0000 1
# Raw total energy = -8.429 eV/atom
# ρ = 7.59 g/cm³

***

Record 2
# Sc4Ni3W2N3 PBE relaxed
data_Sc4Ni3W2N3
_cell_length_a 9.1939
_cell_length_b 5.2353
_cell_length_c 13.2040
_cell_angle_alpha 90.00
_cell_angle_beta 103.63
_cell_angle_gamma 90.00
_symmetry_space_group_name_H-M 'C 1 2/c 1'
_symmetry_Int_Tables_number 15
_symmetry_space_group_name_Hall '-C 2yc'
loop_
_atom_site_label
_atom_site_fract_x
_atom_site_fract_y
_atom_site_fract_z
_atom_site_occupancy
Sc1 0.1133 0.0869 0.0901 1
Sc2 0.2219 0.0812 0.4095 1
Ni1 0.0000 0.0647 0.2500 1
Ni2 0.2330 0.3545 0.2500 1
W1 0.0349 0.4213 0.8641 1
N1 0.0769 0.2704 0.4992 1
N2 0.2500 0.2500 0.0000 1
# Raw total energy = -8.254 eV/atom
# ρ = 8.23 g/cm³

***

Record 3
# Y2Sc4Ni3N3 PBE relaxed
data_Y2Sc4Ni3N3
_cell_length_a 9.6707
_cell_length_b 5.5816
_cell_length_c 13.7017
_cell_angle_alpha 90.00
_cell_angle_beta 104.07
_cell_angle_gamma 90.00
_symmetry_space_group_name_H-M 'C 1 2/c 1'
_symmetry_Int_Tables_number 15
_symmetry_space_group_name_Hall '-C 2yc'
loop_
_atom_site_label
_atom_site_fract_x
_atom_site_fract_y
_atom_site_fract_z
_atom_site_occupancy
Y1 0.0422 0.0836 0.3807 1
Sc1 0.1139 0.4125 0.5902 1
Sc2 0.2211 0.4177 0.9098 1
Ni1 0.0000 0.4165 0.7500 1
Ni2 0.2482 0.1633 0.7498 1
N1 0.0847 0.2544 0.9999 1
N2 0.2500 0.2500 0.5000 1
# Raw total energy = -7.686 eV/atom
# ρ = 5.33 g/cm³

***

Record 4
# Y4Sc2Ni3N3 PBE relaxed
data_Y4Sc2Ni3N3
_cell_length_a 10.0650
_cell_length_b 5.7922
_cell_length_c 14.4097
_cell_angle_alpha 90.00
_cell_angle_beta 103.37
_cell_angle_gamma 90.00
_symmetry_space_group_name_H-M 'C 1 2/c 1'
_symmetry_Int_Tables_number 15
_symmetry_space_group_name_Hall '-C 2yc'
loop_
_atom_site_label
_atom_site_fract_x
_atom_site_fract_y
_atom_site_fract_z
_atom_site_occupancy
Y1 0.1160 0.0807 0.0970 1
Y2 0.2162 0.0838 0.4029 1
Sc1 0.0518 0.4173 0.9063 1
Ni1 0.0000 0.0728 0.2500 1
Ni2 0.2375 0.3441 0.2492 1
N1 0.0763 0.2709 0.5002 1
N2 0.2500 0.2500 0.0000 1
# Raw total energy = -7.444 eV/atom
# ρ = 5.39 g/cm³

***

Record 5
# Sc4ZnNiN2 PBE relaxed
data_Sc4ZnNiN2
_cell_length_a 3.1768
_cell_length_b 3.1768
_cell_length_c 13.7266
_cell_angle_alpha 90.00
_cell_angle_beta 90.00
_cell_angle_gamma 120.00
_symmetry_space_group_name_H-M 'P -6 m 2'
_symmetry_Int_Tables_number 187
_symmetry_space_group_name_Hall 'P -6 2'
loop_
_atom_site_label
_atom_site_fract_x
_atom_site_fract_y
_atom_site_fract_z
_atom_site_occupancy
Sc1 0.0000 0.0000 0.1429 1
Sc2 0.6667 0.3333 0.3278 1
Zn1 0.0000 0.0000 0.5000 1
Ni1 0.6667 0.3333 0.0000 1
N1 0.3333 0.6667 0.2403 1
# Raw total energy = -7.096 eV/atom
# ρ = 4.59 g/cm³

***

Record 6
# Zr4Sc2Ni3N3 PBE relaxed
data_Zr4Sc2Ni3N3
_cell_length_a 9.6306
_cell_length_b 5.5567
_cell_length_c 13.7543
_cell_angle_alpha 90.00
_cell_angle_beta 103.64
_cell_angle_gamma 90.00
_symmetry_space_group_name_H-M 'C 1 2/c 1'
_symmetry_Int_Tables_number 15
_symmetry_space_group_name_Hall '-C 2yc'
loop_
_atom_site_label
_atom_site_fract_x
_atom_site_fract_y
_atom_site_fract_z
_atom_site_occupancy
Zr1 0.1140 0.0875 0.0928 1
Zr2 0.2209 0.0826 0.4072 1
Sc1 0.0442 0.4184 0.8904 1
Ni1 0.0000 0.0735 0.2500 1
Ni2 0.2426 0.3423 0.2502 1
N1 0.0813 0.2561 0.4998 1
N2 0.2500 0.2500 0.0000 1
# Raw total energy = -8.307 eV/atom
# ρ = 6.25 g/cm³

***

Record 7
# Ta4SiNiN2 PBE relaxed
data_Ta4SiNiN2
_cell_length_a 3.1646
_cell_length_b 3.1646
_cell_length_c 12.3679
_cell_angle_alpha 90.00
_cell_angle_beta 90.00
_cell_angle_gamma 120.00
_symmetry_space_group_name_H-M 'P -6 m 2'
_symmetry_Int_Tables_number 187
_symmetry_space_group_name_Hall 'P -6 2'
loop_
_atom_site_label
_atom_site_fract_x
_atom_site_fract_y
_atom_site_fract_z
_atom_site_occupancy
Ta1 0.0000 0.0000 0.1538 1
Ta2 0.3333 0.6667 0.3461 1
Si1 0.0000 0.0000 0.5000 1
Ni1 0.3333 0.6667 0.0000 1
N1 0.6667 0.3333 0.2478 1
# Raw total energy = -9.925 eV/atom
# ρ = 12.98 g/cm³

***

Record 8
# SiNiW4N2 PBE relaxed
data_SiNiW4N2
_cell_length_a 2.8181
_cell_length_b 2.8181
_cell_length_c 14.3741
_cell_angle_alpha 90.00
_cell_angle_beta 90.00
_cell_angle_gamma 120.00
_symmetry_space_group_name_H-M 'P -6 m 2'
_symmetry_Int_Tables_number 187
_symmetry_space_group_name_Hall 'P -6 2'
loop_
_atom_site_label
_atom_site_fract_x
_atom_site_fract_y
_atom_site_fract_z
_atom_site_occupancy
Si1 0.0000 0.0000 0.0000 1
Ni1 0.6667 0.3333 0.5000 1
W1 0.0000 0.0000 0.3516 1
W2 0.6667 0.3333 0.1476 1
N1 0.3333 0.6667 0.2490 1
# Raw total energy = -9.798 eV/atom
# ρ = 14.28 g/cm³